# Mg2InMo

A relaxed structure of Mg2InMo (GGA-PBE, the Alexandria database).

Properties
Total magnetization (μB per formula unit): 0.00
Crystal system: monoclinic
SG: Cm, No. 8
E_tot (eV per formula unit): -15.72

Cell lengths 5.1766, 5.1766, 5.3689 Å; angles 98.37, 98.37, 33.08 degrees
Positions (direct):
Mg1 0.0000 0.0000 0.0000
Mg2 0.2429 0.2429 0.7465
In1 0.4912 0.4912 0.4683
Mo1 0.7445 0.7445 0.2416